## ZnGaCoCu (PBE-GGA)

Data for a geometry-optimized ZnGaCoCu structure.

Computed properties:
size of the total moment = 0.000 μB/atom
energy above the lowest structure with this stoichiometry = 0 meV/atom
DFT formation energy = -0.111 eV per atom

a = 2.810 Å, b = 2.810 Å, c = 6.426 Å
α = 90.00°, β = 90.00°, γ = 90.00°
Space group P4mm (No. 99)
Inequivalent atoms, fractional coordinates:
Zn 0.000 0.000 0.000 (multiplicity 1)
Ga 0.000 0.000 0.469 (multiplicity 1)
Co 0.500 0.500 0.245 (multiplicity 1)
Cu 0.500 0.500 0.737 (multiplicity 1)